No. 1
GePt2Au | PBE-GGA | relaxed

Cell and atoms, written as POSCAR:
```
GePt2Au
1.0
3.0202 0.0000 0.0000
0.0000 3.0202 0.0000
0.0000 0.0000 7.1574
Pt Ge Au
2 1 1
Direct
0.0000 0.0000 0.7813
0.0000 0.0000 0.2187
0.5000 0.5000 0.0000
0.5000 0.5000 0.5000
```

Computed properties:
**ρ**: 16.8 g cm⁻³
**Space-group type**: No. 123
**Total magnetic moment**: 0.00 μB per formula unit
**Formation energy**: -140 meV per atom

=====

No. 2
Ge2PtAu | PBE-GGA | relaxed

Cell and atoms, written as POSCAR:
```
Ge2PtAu
1.0
3.9349 -0.5217 -0.0032
-2.4143 3.1466 0.0037
0.2156 -1.8683 7.1508
Ge Au Pt
2 1 1
Direct
0.3788 0.0993 0.2514
0.6676 0.4062 0.8517
0.0229 0.7528 0.5516
0.0234 0.2529 0.0515
```

Computed properties:
**ρ**: 11.2 g cm⁻³
**Space-group type**: No. 2
**Total magnetic moment**: 0.00 μB per formula unit
**Formation energy**: -141 meV per atom
**Offset from the most stable computed form**: 0 meV per atom

=====

No. 3
GePt2Au | PBE-GGA | relaxed

Cell and atoms, written as POSCAR:
```
GePt2Au
1.0
4.0545 0.0000 0.0000
2.0273 3.5113 0.0000
2.0273 1.1704 5.0426
Au Ge Pt
1 1 2
Direct
0.4962 0.4962 0.5114
0.6715 0.6715 0.9854
0.2699 0.2699 0.1903
0.0624 0.0624 0.8129
```

Computed properties:
**ρ**: 15.3 g cm⁻³
**Space-group type**: No. 160
**Total magnetic moment**: 0.00 μB per formula unit
**Formation energy**: -149 meV per atom

=====

No. 4
Ge3PtAu | PBE-GGA | relaxed

Cell and atoms, written as POSCAR:
```
Ge3PtAu
1.0
-3.0705 -3.0800 -2.1935
3.3154 -3.5516 0.3460
-1.8182 -1.2749 4.3353
Pt Ge Au
1 3 1
Direct
0.0000 0.0000 0.0000
0.0000 0.0000 0.5000
0.5000 0.0000 0.0000
0.0000 0.5000 0.0000
0.5000 0.5000 0.5000
```

Computed properties:
**ρ**: 8.8 g cm⁻³
**Space-group type**: No. 221
**Total magnetic moment**: 0.00 μB per formula unit
**Formation energy**: 357 meV per atom
**Offset from the most stable computed form**: 535 meV per atom

=====

No. 5
Ge3PtAu | PBE-GGA | relaxed

Cell and atoms, written as POSCAR:
```
Ge3PtAu
1.0
3.7874 0.0000 -0.7631
0.3062 8.0568 1.5197
-0.3401 7.8491 8.0928
Ge Pt Au
6 2 2
Direct
0.2125 0.4402 0.4250
0.8963 0.7241 0.7926
0.7875 0.5598 0.5750
0.5270 0.0897 0.0541
0.4730 0.9103 0.9459
0.1037 0.2759 0.2074
0.1483 0.8785 0.2966
0.8517 0.1215 0.7034
0.6600 0.3404 0.3201
0.3400 0.6596 0.6799
```

Computed properties:
**ρ**: 10.2 g cm⁻³
**Space-group type**: No. 12
**Total magnetic moment**: 0.00 μB per formula unit
**Formation energy**: -178 meV per atom
**Offset from the most stable computed form**: 0 meV per atom

=====

No. 6
Ge2PtAu | PBE-GGA | relaxed

Cell and atoms, written as POSCAR:
```
Ge2PtAu
1.0
-2.2524 3.3261 -4.8021
-5.8330 -1.0039 2.0407
-3.8108 5.0056 1.1734
Ge Pt Au
4 2 2
Direct
0.3750 0.3912 0.7500
0.1412 0.6250 0.2500
0.6088 0.1250 0.2500
0.8750 0.8588 0.7500
0.5000 0.5000 0.0000
0.2500 0.7500 0.5000
0.0000 0.0000 0.0000
0.7500 0.2500 0.5000
```

Computed properties:
**ρ**: 9.9 g cm⁻³
**Space-group type**: No. 122
**Total magnetic moment**: 0.00 μB per formula unit
**Formation energy**: -20 meV per atom
**Offset from the most stable computed form**: 122 meV per atom

=====

No. 7
GePtAu | PBE-GGA | relaxed

Cell and atoms, written as POSCAR:
```
GePtAu
1.0
-2.2254 -1.6432 -0.0238
1.5663 -2.1086 -0.8682
1.6441 -0.0049 7.3857
Ge Au Pt
1 1 1
Direct
0.9552 0.9552 0.9104
0.7737 0.7737 0.5473
0.1211 0.1211 0.2422
```

Computed properties:
**ρ**: 13.8 g cm⁻³
**Space-group type**: No. 107
**Total magnetic moment**: 0.00 μB per formula unit
**Formation energy**: 97 meV per atom

=====

No. 8
Pu4Ge2PtAu | PBE-GGA | relaxed

Cell and atoms, written as POSCAR:
```
Pu4Ge2PtAu
1.0
-3.2041 0.2945 -3.9396
-0.9622 -4.1294 -2.8099
-7.6352 -3.1828 2.6880
Au Pu Ge Pt
1 4 2 1
Direct
0.0000 0.0000 0.0000
0.3816 0.3816 0.8553
0.6184 0.6184 0.1447
0.8703 0.8703 0.3890
0.1297 0.1297 0.6110
0.2542 0.2542 0.2374
0.7458 0.7458 0.7626
0.5000 0.5000 0.5000
```

Computed properties:
**ρ**: 13.7 g cm⁻³
**Space-group type**: No. 166
**Total magnetic moment**: 21.35 μB per formula unit
**Formation energy**: -466 meV per atom

=====

No. 9
GePtRhAu2 | PBE-GGA | relaxed

Cell and atoms, written as POSCAR:
```
GePtRhAu2
1.0
4.7390 0.0000 0.0000
0.0000 4.5213 0.0000
0.0000 0.0000 4.7390
Pt Au Ge Rh
1 2 1 1
Direct
0.5000 0.5000 0.5000
0.5000 0.0000 0.0000
0.0000 0.0000 0.5000
0.0000 0.0000 0.0000
0.0000 0.5000 0.0000
```

Computed properties:
**ρ**: 12.5 g cm⁻³
**Space-group type**: No. 123
**Total magnetic moment**: 0.00 μB per formula unit
**Formation energy**: 765 meV per atom

=====

No. 10
Ge2PtRhAu | PBE-GGA | relaxed

Cell and atoms, written as POSCAR:
```
Ge2PtRhAu
1.0
-2.1995 3.5127 -2.1755
-1.3303 -3.1708 -3.7748
-3.9478 -1.0592 2.2810
Ge Pt Rh Au
2 1 1 1
Direct
0.0000 0.0000 0.5000
0.5000 0.0000 0.0000
0.0000 0.0000 0.0000
0.0000 0.5000 0.0000
0.5000 0.5000 0.5000
```

Computed properties:
**ρ**: 9.5 g cm⁻³
**Space-group type**: No. 123
**Total magnetic moment**: 1.36 μB per formula unit
**Formation energy**: 671 meV per atom

=====

No. 11
Sm2Ge3Pt4Au | PBE-GGA | relaxed

Cell and atoms, written as POSCAR:
```
Sm2Ge3Pt4Au
1.0
4.3182 0.0000 0.0000
0.0000 4.3182 0.0000
0.0000 0.0000 10.5502
Au Pt Sm Ge
1 4 2 3
Direct
0.5000 0.5000 0.5000
0.0000 0.5000 0.3517
0.5000 0.5000 0.0000
0.5000 0.0000 0.6483
0.0000 0.0000 0.0000
0.5000 0.0000 0.2544
0.0000 0.5000 0.7456
0.5000 0.0000 0.8748
0.0000 0.5000 0.1252
0.0000 0.0000 0.5000
```

Computed properties:
**ρ**: 12.6 g cm⁻³
**Space-group type**: No. 115
**Total magnetic moment**: 0.00 μB per formula unit
**Formation energy**: -816 meV per atom

=====

No. 12
Sm2Ge4PtAu3 | PBE-GGA | relaxed

Cell and atoms, written as POSCAR:
```
Sm2Ge4PtAu3
1.0
4.3619 0.0000 0.0000
0.0000 4.3619 0.0000
0.0000 0.0000 10.7832
Pt Ge Au Sm
1 4 3 2
Direct
0.5000 0.5000 0.5000
0.5000 0.0000 0.6294
0.0000 0.5000 0.3706
0.5000 0.5000 0.0000
0.0000 0.0000 0.0000
0.0000 0.5000 0.1394
0.5000 0.0000 0.8606
0.0000 0.0000 0.5000
0.0000 0.5000 0.7336
0.5000 0.0000 0.2664
```

Computed properties:
**ρ**: 11.1 g cm⁻³
**Space-group type**: No. 115
**Total magnetic moment**: 0.00 μB per formula unit
**Formation energy**: -593 meV per atom